HoIn2SnTe4: relaxed, PBE.

Calculated values
Formation energy from raw total energies: -0.601 eV per atom

Cell: 7.8691 4.4299 8.0066 Å, 90.00 109.06 90.00°
Closest atoms and distances in Å follow each position.
Space group P2/m (No. 10)
Inequivalent atoms, fractional coordinates:
Ho (0.0000, 0.0000, 0.0000) [1 per cell]  6 Te 3.08-3.10
In (0.0000, 0.5000, 0.5000) [1 per cell]  6 Te 3.20-3.27
In (0.5000, 0.0000, 0.5000) [1 per cell]  6 Te 3.32-3.37
Sn (0.5000, 0.5000, 0.0000) [1 per cell]  6 Te 3.20-3.21
Te (0.2342, 0.5000, 0.2300) [2 per cell]  2 Ho 3.08, 1 Sn 3.21, 3 In 3.27-3.32
Te (0.2399, 0.0000, 0.7605) [2 per cell]  1 Ho 3.10, 2 Sn 3.20, 3 In 3.20-3.37

***

Nb2BN: relaxed, PBE.

Calculated values
Polymorph energy (0 for the lowest one): 0.00 kJ/mol of atoms
Formation energy from raw total energies: -0.742 eV per atom

Cell: 3.2016 3.2016 15.8621 Å, 90.00 90.00 120.00°
Closest atoms and distances in Å follow each position.
Space group R-3m (No. 166, hexagonal axes)
Inequivalent atoms, fractional coordinates:
Nb (0.0000, 0.0000, 0.2476) [6 per cell]  3 B 2.25, 3 N 2.29
B (0.0000, 0.0000, 0.5000) [3 per cell]  6 Nb 2.25
N (0.0000, 0.0000, 0.0000) [3 per cell]  6 Nb 2.29

***

Zr2NiAg: relaxed, PBE.

Calculated values
E_form: -0.3 eV/f.u.

Cell: 6.0322 7.8800 3.0963 Å, 90.00 90.00 90.00°
Closest atoms and distances in Å follow each position.
Space group Cmmm (No. 65)
Inequivalent atoms, fractional coordinates:
Zr (0.2500, 0.2500, 0.0000) [4 per cell]  4 Ni 2.92, 4 Ag 2.92, 4 Zr 3.02-3.10
Ni (0.0000, 0.0000, 0.5000) [2 per cell]  8 Zr 2.92, 2 Ag 3.02, 2 Ni 3.10
Ag (0.0000, 0.5000, 0.5000) [2 per cell]  8 Zr 2.92, 2 Ni 3.02, 2 Ag 3.10